Below is Ta2MoH after structural relaxation, with properties calculated at the PBEsol level.

Results
Space group: I-42d (122)
VASP energy, eV for the cell shown: -77.30
Total moment, μB per formula unit: 0.000

Geometry as extended XYZ:
```
8
Lattice="5.251 0.007 0.012 -1.827 4.923 -0.012 -1.827 -2.386 4.307" Properties=species:S:1:pos:R:3 pbc="T T T"
H -1.827 1.269 2.147
H 0.799 -0.555 3.233
Mo 0.000 0.000 0.000
Mo 0.799 3.100 1.074
Ta 3.594 2.372 0.543
Ta -1.082 -0.462 2.690
Ta 1.543 0.755 1.979
Ta -0.859 2.424 3.401
```



Below is CuPt after structural relaxation, with properties calculated at the PBEsol level.

Results
Space group: P2/m (10)
Formation energy from the elements, eV/atom: -0.0992
VASP energy, eV for the cell shown: -68.98
Total moment, μB per formula unit: 0.000

Geometry as extended XYZ:
```
12
Lattice="4.621 0.000 -0.003 0.000 5.341 0.000 -0.025 0.000 6.495" Properties=species:S:1:pos:R:3 pbc="T T T"
Cu 0.000 3.957 0.000
Cu 0.765 2.670 2.128
Cu 2.310 0.000 -0.001
Cu 3.831 2.670 4.364
Cu 0.000 1.383 0.000
Cu 2.310 2.670 -0.001
Pt 1.512 1.355 4.402
Pt 3.083 3.986 2.091
Pt 0.760 0.000 2.073
Pt 1.512 3.986 4.402
Pt 3.083 1.355 2.091
Pt 3.835 0.000 4.419
```



Below is TcAg3Se after structural relaxation, with properties calculated at the PBEsol level.

Results
Energy relative to the elements, uncorrected, eV/f.u.: 8.3
Space group: Pm-3m (221)
VASP energy, eV for the cell shown: -16.79
Total moment, μB per formula unit: 3.418

Geometry as extended XYZ:
```
5
Lattice="-1.300 1.407 -4.578 1.265 -4.474 -1.734 -4.619 -1.621 0.813" Properties=species:S:1:pos:R:3 pbc="T T T"
Se -2.327 -2.344 -2.749
Tc 0.000 0.000 0.000
Ag 0.632 -2.237 -0.867
Ag -2.310 -0.810 0.407
Ag -0.650 0.703 -2.289
```



- Look up the VASP energy of the first one.
  -77.30 eV for the cell shown



- Which formula does entry 3 have?
  TcAg3Se